No. 1
{"formula": "Cs2NaW", "functional": "PBE-GGA", "state": "relaxed", "dos_ef_per_ev_atom": 0.14, "crystal_system": "cubic", "magmom_total_mub_per_fu": 5.00, "ef_ev_per_fu": 6.03, "lattice_angstrom": [[0.000, 4.708, 4.708], [4.708, 0.000, 4.708], [4.708, 4.708, 0.000]], "species": ["Cs", "Cs", "Na", "W"], "fractional_positions": [[0.250, 0.250, 0.250], [0.750, 0.750, 0.750], [0.000, 0.000, 0.000], [0.500, 0.500, 0.500]]}


No. 2
{"formula": "CsNaW3", "functional": "PBE-GGA", "state": "relaxed", "dos_ef_per_ev_atom": 2.00, "crystal_system": "cubic", "magmom_total_mub_per_fu": 4.31, "polymorph_energy_ev_per_atom": 0.000, "ef_ev_per_fu": 18.31, "lattice_angstrom": [[-3.276, 3.437, -1.504], [-3.606, -2.335, 2.520], [1.034, 2.746, 4.025]], "species": ["Cs", "Na", "W", "W", "W"], "fractional_positions": [[0.500, 0.500, 0.500], [0.000, 0.000, 0.000], [0.000, 0.500, 0.000], [0.500, 0.000, 0.000], [0.000, 0.000, 0.500]]}


No. 3
{"formula": "CsNaY2W", "functional": "PBE-GGA", "state": "relaxed", "dos_ef_per_ev_atom": 0.79, "crystal_system": "tetragonal", "magmom_total_mub_per_fu": 0.00, "ef_ev_per_fu": 4.78, "lattice_angstrom": [[-5.413, 0.327, -0.919], [-0.991, -5.248, 3.970], [-0.530, 3.366, 4.317]], "species": ["Na", "Cs", "W", "Y", "Y"], "fractional_positions": [[0.500, 0.500, 0.500], [0.000, 0.500, 0.000], [0.000, 0.000, 0.000], [0.500, 0.000, 0.000], [0.000, 0.000, 0.500]]}


No. 4
{"formula": "CsNaY2", "functional": "PBE-GGA", "state": "relaxed", "dos_ef_per_ev_atom": 1.12, "crystal_system": "tetragonal", "magmom_total_mub_per_fu": 0.00, "polymorph_energy_ev_per_atom": 0.000, "ef_ev_per_fu": 2.66, "lattice_angstrom": [[-2.064, -0.707, -4.326], [4.270, -1.408, -1.807], [-1.798, -14.434, 0.504]], "species": ["Y", "Y", "Y", "Y", "Cs", "Cs", "Na", "Na"], "fractional_positions": [[0.617, 0.125, 0.250], [0.375, 0.383, 0.750], [0.133, 0.625, 0.250], [0.875, 0.867, 0.750], [0.750, 0.250, 0.500], [0.000, 0.000, 0.000], [0.250, 0.750, 0.500], [0.500, 0.500, 0.000]]}


No. 5
{"formula": "CsNaY2", "functional": "PBE-GGA", "state": "relaxed", "dos_ef_per_ev_atom": 0.85, "crystal_system": "cubic", "magmom_total_mub_per_fu": 0.00, "polymorph_energy_ev_per_atom": 0.086, "ef_ev_per_fu": 3.01, "lattice_angstrom": [[0.000, 4.203, 4.203], [4.203, 0.000, 4.203], [4.203, 4.203, 0.000]], "species": ["Y", "Y", "Cs", "Na"], "fractional_positions": [[0.250, 0.250, 0.250], [0.750, 0.750, 0.750], [0.500, 0.500, 0.500], [0.000, 0.000, 0.000]]}


No. 6
{"formula": "Cs3NaY", "functional": "PBE-GGA", "state": "relaxed", "dos_ef_per_ev_atom": 1.49, "crystal_system": "cubic", "magmom_total_mub_per_fu": 1.54, "polymorph_energy_ev_per_atom": 0.000, "ef_ev_per_fu": 3.48, "lattice_angstrom": [[7.470, 0.000, 0.000], [0.000, 7.470, 0.000], [0.000, 0.000, 7.470]], "species": ["Cs", "Cs", "Cs", "Na", "Y"], "fractional_positions": [[0.000, 0.500, 0.000], [0.500, 0.000, 0.000], [0.000, 0.000, 0.500], [0.000, 0.000, 0.000], [0.500, 0.500, 0.500]]}


No. 7
{"formula": "Cs2NaZn", "functional": "PBE-GGA", "state": "relaxed", "dos_ef_per_ev_atom": 0.86, "crystal_system": "tetragonal", "magmom_total_mub_per_fu": 0.00, "polymorph_energy_ev_per_atom": 0.065, "ef_ev_per_fu": 0.81, "lattice_angstrom": [[-5.527, 5.527, 4.150], [5.527, -5.527, 4.150], [5.527, 5.527, -4.150]], "species": ["Zn", "Zn", "Na", "Na", "Cs", "Cs", "Cs", "Cs"], "fractional_positions": [[0.000, 0.000, 0.000], [0.250, 0.750, 0.500], [0.750, 0.250, 0.500], [0.500, 0.500, 0.000], [0.922, 0.875, 0.547], [0.625, 0.078, 0.953], [0.328, 0.375, 0.453], [0.125, 0.672, 0.047]]}


No. 8
{"formula": "CsNa3Zn", "functional": "PBE-GGA", "state": "relaxed", "dos_ef_per_ev_atom": 0.48, "crystal_system": "cubic", "magmom_total_mub_per_fu": 0.00, "polymorph_energy_ev_per_atom": 0.000, "ef_ev_per_fu": 0.49, "lattice_angstrom": [[-3.749, -0.318, -4.746], [4.755, -0.431, -3.727], [-0.142, -6.033, 0.517]], "species": ["Na", "Na", "Na", "Zn", "Cs"], "fractional_positions": [[0.000, 0.500, 0.000], [0.500, 0.000, 0.000], [0.000, 0.000, 0.500], [0.000, 0.000, 0.000], [0.500, 0.500, 0.500]]}